The following is a GGA+U calculation of an optimized crystal structure of SrGdCoO4, from Alexandria via LeMat-Bulk.

Computed properties:
The calculated total energy is -114.36 eV/cell. The calculated volume is 12.348 Å³ per atom.

abc: 3.7754 3.7754 12.1281
angles: 90.00 90.00 90.00
Space group I4mm (No. 107)
Inequivalent atoms, fractional coordinates:
Sr 0.0000 0.0000 0.0000 [2 per cell]
Gd 0.0000 0.0000 0.7195 [2 per cell]
Co 0.0000 0.0000 0.3618 [2 per cell]
O 0.0000 0.0000 0.1978 [2 per cell]
O 0.0000 0.0000 0.5283 [2 per cell]
O 0.0000 0.5000 0.3448 [4 per cell]